# 1
{"formula": "BaTa2W", "functional": "GGA-PBE", "state": "relaxed", "space_group": "P4mm", "m_tot_mub_per_fu": 0.0, "volume_a3_per_fu": 95.8, "delta_e_f_mev_per_atom": 710, "e_tot_ev_per_atom": -8.935, "n_ef_per_ev_cell": 5.626, "cell": [[3.3813, 0.0000, 0.0000], [0.0000, 3.3813, 0.0000], [0.0000, 0.0000, 8.3830]], "species": ["Ba", "W", "Ta", "Ta"], "fractional_positions": [[0.5000, 0.5000, 0.7371], [0.0000, 0.0000, 0.4176], [0.0000, 0.0000, 0.0841], [0.5000, 0.5000, 0.2611]]}

# 2
{"formula": "CrCoHg2", "functional": "GGA-PBE", "state": "relaxed", "space_group": "P4/mmm", "m_tot_mub_per_fu": 4.8, "volume_a3_per_fu": 68.1, "delta_e_f_mev_per_atom": 494, "e_tot_ev_per_atom": -3.839, "n_ef_per_ev_cell": 2.681, "cell": [[-2.9585, 1.2507, 0.8735], [-1.4685, -1.8180, -2.3703], [-0.7634, -4.6005, 4.0016]], "species": ["Co", "Cr", "Hg", "Hg"], "fractional_positions": [[0.5000, 0.5000, 0.2500], [0.5000, 0.5000, 0.7500], [0.0000, 0.0000, 0.0101], [0.0000, 0.0000, 0.4899]]}

# 3
{"formula": "La3Si2BiPt9", "functional": "GGA-PBE", "state": "relaxed", "space_group": "P-3m1", "m_tot_mub_per_fu": 0.0, "volume_a3_per_fu": 332.9, "e_tot_ev_per_atom": -6.226, "n_ef_per_ev_cell": 8.684, "formation_energy_uncorrected_mev_per_atom": -634, "cell": [[7.5643, 0.0000, 0.0000], [-3.7822, 6.5509, 0.0000], [0.0000, 0.0000, 6.7178]], "species": ["La", "La", "La", "Si", "Si", "Bi", "Pt", "Pt", "Pt", "Pt", "Pt", "Pt", "Pt", "Pt", "Pt"], "fractional_positions": [[0.3333, 0.6667, 0.6515], [0.0000, 0.0000, 0.0000], [0.6667, 0.3333, 0.3485], [0.3333, 0.6667, 0.1293], [0.6667, 0.3333, 0.8707], [0.0000, 0.0000, 0.5000], [0.8196, 0.1804, 0.6928], [0.8196, 0.6393, 0.6928], [0.3607, 0.1804, 0.6928], [0.6393, 0.8196, 0.3072], [0.1804, 0.3607, 0.3072], [0.1804, 0.8196, 0.3072], [0.5000, 0.0000, 0.0000], [0.0000, 0.5000, 0.0000], [0.5000, 0.5000, 0.0000]]}

# 4
{"formula": "SrCoTe2", "functional": "GGA-PBE", "state": "relaxed", "space_group": "Cmmm", "m_tot_mub_per_fu": 2.0, "volume_a3_per_fu": 107.1, "e_tot_ev_per_atom": -3.948, "n_ef_per_ev_cell": 5.136, "formation_energy_uncorrected_mev_per_atom": -181, "cell": [[8.3773, 0.0296, 0.0654], [-3.2799, 4.0558, 0.0395], [1.8175, 1.4424, 3.1815]], "species": ["Co", "Sr", "Te", "Te"], "fractional_positions": [[0.0000, 0.5000, 0.5000], [0.5000, 0.5000, 0.0000], [0.0000, 0.0000, 0.0000], [0.5000, 0.0000, 0.5000]]}

Repeat the first record exactly.
{"formula": "BaTa2W", "functional": "GGA-PBE", "state": "relaxed", "space_group": "P4mm", "m_tot_mub_per_fu": 0.0, "volume_a3_per_fu": 95.8, "delta_e_f_mev_per_atom": 710, "e_tot_ev_per_atom": -8.935, "n_ef_per_ev_cell": 5.626, "cell": [[3.3813, 0.0000, 0.0000], [0.0000, 3.3813, 0.0000], [0.0000, 0.0000, 8.3830]], "species": ["Ba", "W", "Ta", "Ta"], "fractional_positions": [[0.5000, 0.5000, 0.7371], [0.0000, 0.0000, 0.4176], [0.0000, 0.0000, 0.0841], [0.5000, 0.5000, 0.2611]]}